Entry 1:
# Dy4Te4Au, relaxed, DFT PBE
data_Dy4Te4Au
_symmetry_space_group_name_H-M 'P 1'
_symmetry_Int_Tables_number 1
_symmetry_space_group_name_Hall 'P 1'
_cell_length_a 7.094
_cell_length_b 7.094
_cell_length_c 8.356
_cell_angle_alpha 115.12
_cell_angle_beta 115.12
_cell_angle_gamma 90.00
loop_
_atom_site_label
_atom_site_type_symbol
_atom_site_fract_x
_atom_site_fract_y
_atom_site_fract_z
Te1 Te 0.500 0.000 0.000
Te2 Te 0.715 0.715 0.431
Te3 Te 0.000 0.500 0.000
Te4 Te 0.285 0.285 0.569
Dy1 Dy 0.093 0.093 0.742
Dy2 Dy 0.649 0.649 0.742
Dy3 Dy 0.907 0.351 0.258
Dy4 Dy 0.351 0.907 0.258
Au1 Au 0.000 0.000 0.000
# ρ = 6.702 Mg/m³
# Magnetic moment = 0.00 μB/f.u.
# Volume = 37.37 A^3/atom
# Symmetry = I-42m (121)
# Uncorrected formation energy = -905 meV/atom

=====

Entry 2:
# DyTe2Au, relaxed, DFT PBE
data_DyTe2Au
_symmetry_space_group_name_H-M 'P 1'
_symmetry_Int_Tables_number 1
_symmetry_space_group_name_Hall 'P 1'
_cell_length_a 4.560
_cell_length_b 4.560
_cell_length_c 8.838
_cell_angle_alpha 75.05
_cell_angle_beta 75.05
_cell_angle_gamma 60.00
loop_
_atom_site_label
_atom_site_type_symbol
_atom_site_fract_x
_atom_site_fract_y
_atom_site_fract_z
Au1 Au 0.000 0.000 0.000
Te1 Te 0.898 0.898 0.307
Te2 Te 0.102 0.102 0.693
Dy1 Dy 0.500 0.500 0.500
# ρ = 6.717 Mg/m³
# Magnetic moment = 0.00 μB/f.u.
# Volume = 37.99 A^3/atom
# Symmetry = R-3m (166)
# Uncorrected formation energy = -810 meV/atom

=====

Entry 3:
# DyTeAu, relaxed, DFT PBE
data_DyTeAu
_symmetry_space_group_name_H-M 'P 1'
_symmetry_Int_Tables_number 1
_symmetry_space_group_name_Hall 'P 1'
_cell_length_a 4.988
_cell_length_b 4.379
_cell_length_c 4.379
_cell_angle_alpha 120.00
_cell_angle_beta 90.00
_cell_angle_gamma 90.00
loop_
_atom_site_label
_atom_site_type_symbol
_atom_site_fract_x
_atom_site_fract_y
_atom_site_fract_z
Au1 Au 0.319 0.667 0.333
Te1 Te 0.650 0.333 0.667
Dy1 Dy 0.030 0.000 0.000
# ρ = 9.765 Mg/m³
# Magnetic moment = 0.00 μB/f.u.
# Volume = 27.61 A^3/atom
# Symmetry = P3m1 (156)
# Uncorrected formation energy = -903 meV/atom

=====

Entry 4:
# Dy2TeAu, relaxed, DFT PBE
data_Dy2TeAu
_symmetry_space_group_name_H-M 'P 1'
_symmetry_Int_Tables_number 1
_symmetry_space_group_name_Hall 'P 1'
_cell_length_a 4.492
_cell_length_b 4.054
_cell_length_c 11.957
_cell_angle_alpha 99.76
_cell_angle_beta 90.00
_cell_angle_gamma 90.00
loop_
_atom_site_label
_atom_site_type_symbol
_atom_site_fract_x
_atom_site_fract_y
_atom_site_fract_z
Au1 Au 0.250 0.457 0.913
Au2 Au 0.750 0.543 0.087
Dy1 Dy 0.750 0.939 0.878
Dy2 Dy 0.750 0.669 0.337
Dy3 Dy 0.250 0.331 0.663
Dy4 Dy 0.250 0.061 0.122
Te1 Te 0.750 0.805 0.610
Te2 Te 0.250 0.195 0.390
# ρ = 10.054 Mg/m³
# Energy above the lowest structure with this stoichiometry = 0.00 eV per formula unit
# Magnetic moment = 0.00 μB/f.u.
# Volume = 26.82 A^3/atom
# Symmetry = Cmcm (63)
# Uncorrected formation energy = -1085 meV/atom

=====

Entry 5:
# Dy2TeAu, relaxed, DFT PBE
data_Dy2TeAu
_symmetry_space_group_name_H-M 'P 1'
_symmetry_Int_Tables_number 1
_symmetry_space_group_name_Hall 'P 1'
_cell_length_a 3.805
_cell_length_b 3.805
_cell_length_c 6.984
_cell_angle_alpha 90.00
_cell_angle_beta 90.00
_cell_angle_gamma 90.00
loop_
_atom_site_label
_atom_site_type_symbol
_atom_site_fract_x
_atom_site_fract_y
_atom_site_fract_z
Au1 Au 0.500 0.500 0.000
Dy1 Dy 0.000 0.000 0.760
Dy2 Dy 0.000 0.000 0.240
Te1 Te 0.500 0.500 0.500
# ρ = 10.666 Mg/m³
# Energy above the lowest structure with this stoichiometry = 0.72 eV per formula unit
# Magnetic moment = 0.86 μB/f.u.
# Volume = 25.28 A^3/atom
# Symmetry = P4/mmm (123)
# Uncorrected formation energy = -905 meV/atom

=====

Entry 6:
# DyTe2Au, relaxed, DFT PBE
data_DyTe2Au
_symmetry_space_group_name_H-M 'P 1'
_symmetry_Int_Tables_number 1
_symmetry_space_group_name_Hall 'P 1'
_cell_length_a 4.562
_cell_length_b 4.560
_cell_length_c 8.926
_cell_angle_alpha 58.18
_cell_angle_beta 75.16
_cell_angle_gamma 59.98
loop_
_atom_site_label
_atom_site_type_symbol
_atom_site_fract_x
_atom_site_fract_y
_atom_site_fract_z
Dy1 Dy 0.841 0.866 0.795
Au1 Au 0.179 0.001 0.985
Te1 Te 0.515 0.206 0.108
Te2 Te 0.170 0.412 0.590
# ρ = 7.473 Mg/m³
# Magnetic moment = 0.00 μB/f.u.
# Volume = 34.15 A^3/atom
# Symmetry = Cm (8)
# Uncorrected formation energy = -889 meV/atom

=====

Entry 7:
# Dy3Te2Au, relaxed, DFT PBE
data_Dy3Te2Au
_symmetry_space_group_name_H-M 'P 1'
_symmetry_Int_Tables_number 1
_symmetry_space_group_name_Hall 'P 1'
_cell_length_a 7.513
_cell_length_b 7.513
_cell_length_c 13.549
_cell_angle_alpha 100.82
_cell_angle_beta 100.82
_cell_angle_gamma 108.86
loop_
_atom_site_label
_atom_site_type_symbol
_atom_site_fract_x
_atom_site_fract_y
_atom_site_fract_z
Au1 Au 0.916 0.916 0.833
Au2 Au 0.334 0.834 0.667
Au3 Au 0.084 0.084 0.167
Au4 Au 0.166 0.666 0.333
Dy1 Dy 0.588 0.608 0.675
Dy2 Dy 0.228 0.228 0.000
Dy3 Dy 0.022 0.522 0.500
Dy4 Dy 0.478 0.978 0.500
Dy5 Dy 0.163 0.683 0.825
Dy6 Dy 0.858 0.338 0.175
Dy7 Dy 0.933 0.913 0.325
Dy8 Dy 0.317 0.837 0.175
Dy9 Dy 0.392 0.412 0.325
Dy10 Dy 0.087 0.067 0.675
Dy11 Dy 0.662 0.142 0.825
Dy12 Dy 0.772 0.772 0.000
Te1 Te 0.670 0.170 0.340
Te2 Te 0.504 0.004 0.007
Te3 Te 0.254 0.254 0.507
Te4 Te 0.420 0.420 0.840
Te5 Te 0.580 0.580 0.160
Te6 Te 0.830 0.330 0.660
Te7 Te 0.746 0.746 0.493
Te8 Te 0.996 0.496 0.993
# ρ = 9.111 Mg/m³
# Magnetic moment = 0.00 μB/f.u.
# Volume = 28.54 A^3/atom
# Symmetry = Fddd (70)
# Uncorrected formation energy = -1145 meV/atom

=====

Entry 8:
# DyTe3Au, relaxed, DFT PBE
data_DyTe3Au
_symmetry_space_group_name_H-M 'P 1'
_symmetry_Int_Tables_number 1
_symmetry_space_group_name_Hall 'P 1'
_cell_length_a 7.799
_cell_length_b 8.298
_cell_length_c 9.407
_cell_angle_alpha 90.00
_cell_angle_beta 82.62
_cell_angle_gamma 90.00
loop_
_atom_site_label
_atom_site_type_symbol
_atom_site_fract_x
_atom_site_fract_y
_atom_site_fract_z
Te1 Te 0.819 0.003 0.770
Te2 Te 0.223 0.614 0.561
Te3 Te 0.319 0.497 0.270
Te4 Te 0.723 0.886 0.061
Te5 Te 0.833 0.347 0.090
Te6 Te 0.181 0.997 0.230
Te7 Te 0.333 0.153 0.590
Te8 Te 0.167 0.653 0.910
Te9 Te 0.277 0.114 0.939
Te10 Te 0.667 0.847 0.410
Te11 Te 0.777 0.386 0.439
Te12 Te 0.681 0.503 0.730
Dy1 Dy 0.528 0.162 0.272
Dy2 Dy 0.972 0.662 0.228
Dy3 Dy 0.028 0.338 0.772
Dy4 Dy 0.472 0.838 0.728
Au1 Au 0.466 0.685 0.026
Au2 Au 0.966 0.815 0.526
Au3 Au 0.534 0.315 0.974
Au4 Au 0.034 0.185 0.474
# ρ = 8.167 Mg/m³
# Magnetic moment = 0.00 μB/f.u.
# Volume = 30.18 A^3/atom
# Symmetry = P2_1/c (14)
# Uncorrected formation energy = -687 meV/atom